This record from Alexandria via LeMat-Bulk describes crystalline Ba3CrSb2O9 at its relaxed geometry. The functional is GGA+U.

abc: 5.8720 5.8720 7.2007
angles: 90.00 90.00 120.00
Atoms (fractional coordinates):
1 Ba 0.0000 0.0000 0.0000
2 Ba 0.3333 0.6667 0.6623
3 Ba 0.6667 0.3333 0.3377
4 Cr 0.0000 0.0000 0.5000
5 Sb 0.3333 0.6667 0.1753
6 Sb 0.6667 0.3333 0.8247
7 O 0.0000 0.5000 0.0000
8 O 0.1675 0.3351 0.3316
9 O 0.1675 0.8325 0.3316
10 O 0.3351 0.1675 0.6684
11 O 0.5000 0.0000 0.0000
12 O 0.5000 0.5000 0.0000
13 O 0.6649 0.8325 0.3316
14 O 0.8325 0.1675 0.6684
15 O 0.8325 0.6649 0.6684

Computed properties:
SG = P-3m1 (164)

***

This record from Alexandria via LeMat-Bulk describes crystalline Ba2CrSb2O6 at its relaxed geometry. The functional is GGA+U.

abc: 6.0452 6.0452 6.0588
angles: 108.13 108.13 68.93
Atoms (fractional coordinates):
1 Ba 0.1899 0.1899 0.1185
2 Ba 0.8101 0.8101 0.8815
3 Cr 0.0000 0.0000 0.5000
4 Sb 0.4423 0.4423 0.7275
5 Sb 0.5577 0.5577 0.2725
6 O 0.1928 0.7974 0.7468
7 O 0.2026 0.8072 0.2532
8 O 0.2333 0.2333 0.6781
9 O 0.7667 0.7667 0.3219
10 O 0.7974 0.1928 0.7468
11 O 0.8072 0.2026 0.2532

Computed properties:
SG = C2/m (12)

***

This record from Alexandria via LeMat-Bulk describes crystalline BaScCr2O8 at its relaxed geometry. The functional is GGA+U.

abc: 5.5911 5.5911 7.4183
angles: 90.00 90.00 120.00
Atoms (fractional coordinates):
1 Ba 0.0000 0.0000 0.0000
2 Sc 0.0000 0.0000 0.5000
3 Cr 0.3333 0.6667 0.7522
4 Cr 0.6667 0.3333 0.2478
5 O 0.1647 0.3333 0.6803
6 O 0.1686 0.8353 0.6803
7 O 0.3333 0.1686 0.3197
8 O 0.3333 0.6667 0.9758
9 O 0.6667 0.3333 0.0242
10 O 0.6667 0.8314 0.6803
11 O 0.8314 0.1647 0.3197
12 O 0.8353 0.6667 0.3197

Computed properties:
SG = P-3 (147)

***

This record from Alexandria via LeMat-Bulk describes crystalline BaCr2SeO at its relaxed geometry. The functional is GGA+U.

abc: 6.0271 6.0271 4.4681
angles: 90.00 90.00 90.00
Atoms (fractional coordinates):
1 Ba 0.0000 0.0000 0.0000
2 Cr 0.0000 0.5000 0.0000
3 Cr 0.5000 0.0000 0.0000
4 Se 0.5000 0.5000 0.5000
5 O 0.0000 0.0000 0.5000

Computed properties:
SG = P4/mmm (123)

***

| no. | E (eV/atom) |
| --- | --- |
| 1 | -6.537 |
| 2 | -6.217 |
| 3 | -7.311 |
| 4 | -4.560 |